# 1
# MnCoNi3 | Alexandria via LeMat-Bulk | PBE-GGA | optimized geometry
# magnetic moment = 1.663 μB/atom
# E_form = 0.926 eV per atom
# polymorph energy (0 for the lowest one) = 700 meV/atom
data_MnCoNi3
_chemical_formula_sum 'Mn1 Co1 Ni3'
_space_group_name_H-M_alt 'P m -3 m'
_space_group_IT_number 221
_space_group_name_Hall '-P 4 2 3'
_cell_length_a 4.2497
_cell_length_b 4.2497
_cell_length_c 4.2497
_cell_angle_alpha 90.00
_cell_angle_beta 90.00
_cell_angle_gamma 90.00
loop_
_atom_site_label
_atom_site_type_symbol
_atom_site_fract_x
_atom_site_fract_y
_atom_site_fract_z
_atom_site_occupancy
Mn1 Mn 0.0000 0.0000 0.0000 1
Co1 Co 0.5000 0.5000 0.5000 1
Ni1 Ni 0.0000 0.5000 0.5000 1

---

# 2
# Mn2Co2Ni15 | Alexandria via LeMat-Bulk | PBE-GGA | optimized geometry
# magnetic moment = 1.068 μB/atom
# E_form = 0.116 eV per atom
data_Mn2Co2Ni15
_chemical_formula_sum 'Mn6 Co6 Ni45'
_space_group_name_H-M_alt 'R -3 m'
_space_group_IT_number 166
_space_group_name_Hall '-R 3 2"'
_cell_length_a 8.0447
_cell_length_b 8.0447
_cell_length_c 12.0905
_cell_angle_alpha 90.00
_cell_angle_beta 90.00
_cell_angle_gamma 120.00
loop_
_atom_site_label
_atom_site_type_symbol
_atom_site_fract_x
_atom_site_fract_y
_atom_site_fract_z
_atom_site_occupancy
Mn1 Mn 0.0000 0.0000 0.1619 1
Co1 Co 0.0000 0.0000 0.4067 1
Ni1 Ni 0.0000 0.3098 0.5000 1
Ni2 Ni 0.0000 0.5000 0.0000 1
Ni3 Ni 0.0029 0.5014 0.6560 1

---

# 3
# MnCoNi3 | Alexandria via LeMat-Bulk | PBE-GGA | optimized geometry
# magnetic moment = 0.501 μB/atom
# E_form = 0.730 eV per atom
# polymorph energy (0 for the lowest one) = 503 meV/atom
data_MnCoNi3
_chemical_formula_sum 'Mn2 Co2 Ni6'
_space_group_name_H-M_alt 'P 63/m m c'
_space_group_IT_number 194
_space_group_name_Hall '-P 6c 2c'
_cell_length_a 5.7913
_cell_length_b 5.7913
_cell_length_c 4.2666
_cell_angle_alpha 90.00
_cell_angle_beta 90.00
_cell_angle_gamma 120.00
loop_
_atom_site_label
_atom_site_type_symbol
_atom_site_fract_x
_atom_site_fract_y
_atom_site_fract_z
_atom_site_occupancy
Mn1 Mn 0.3333 0.6667 0.2500 1
Co1 Co 0.0000 0.0000 0.0000 1
Ni1 Ni 0.2023 0.4046 0.7500 1

---

# 4
# Mn2CoNi | Alexandria via LeMat-Bulk | PBE-GGA | optimized geometry
# magnetic moment = 0.129 μB/atom
# E_form = 0.116 eV per atom
# polymorph energy (0 for the lowest one) = 166 meV/atom
data_Mn2CoNi
_chemical_formula_sum 'Mn4 Co2 Ni2'
_space_group_name_H-M_alt 'C 1 2/m 1'
_space_group_IT_number 12
_cell_length_a 8.2798
_cell_length_b 2.4578
_cell_length_c 4.2487
_cell_angle_alpha 90.00
_cell_angle_beta 99.92
_cell_angle_gamma 90.00
loop_
_space_group_symop_operation_xyz
'x,y,z'
'-x,-y,-z'
'-x,y,-z'
'x,-y,z'
'x+1/2,y+1/2,z'
'-x+1/2,-y+1/2,-z'
'-x+1/2,y+1/2,-z'
'x+1/2,-y+1/2,z'
loop_
_atom_site_label
_atom_site_type_symbol
_atom_site_fract_x
_atom_site_fract_y
_atom_site_fract_z
_atom_site_occupancy
Mn1 Mn 0.2474 0.0000 0.2453 1
Co1 Co 0.0000 0.5000 0.0000 1
Ni1 Ni 0.0000 0.0000 0.5000 1

---

# 5
# Mn4CoNi | Alexandria via LeMat-Bulk | PBE-GGA | optimized geometry
# magnetic moment = 0.065 μB/atom
# E_form = 0.279 eV per atom
data_Mn4CoNi
_chemical_formula_sum 'Mn16 Co4 Ni4'
_space_group_name_H-M_alt 'F -4 3 m'
_space_group_IT_number 216
_space_group_name_Hall 'F -4 2 3'
_cell_length_a 6.4526
_cell_length_b 6.4526
_cell_length_c 6.4526
_cell_angle_alpha 90.00
_cell_angle_beta 90.00
_cell_angle_gamma 90.00
loop_
_atom_site_label
_atom_site_type_symbol
_atom_site_fract_x
_atom_site_fract_y
_atom_site_fract_z
_atom_site_occupancy
Mn1 Mn 0.1246 0.1246 0.1246 1
Co1 Co 0.0000 0.0000 0.5000 1
Ni1 Ni 0.2500 0.2500 0.7500 1

---

# 6
# Mn2CoNi | Alexandria via LeMat-Bulk | PBE-GGA | optimized geometry
# magnetic moment = 1.642 μB/atom
# E_form = 0.158 eV per atom
# polymorph energy (0 for the lowest one) = 208 meV/atom
data_Mn2CoNi
_chemical_formula_sum 'Mn2 Co1 Ni1'
_space_group_name_H-M_alt 'P 1 2/m 1'
_space_group_IT_number 10
_cell_length_a 2.4577
_cell_length_b 4.0288
_cell_length_c 4.6703
_cell_angle_alpha 90.00
_cell_angle_beta 97.96
_cell_angle_gamma 90.00
loop_
_space_group_symop_operation_xyz
'x,y,z'
'-x,-y,-z'
'-x,y,-z'
'x,-y,z'
loop_
_atom_site_label
_atom_site_type_symbol
_atom_site_fract_x
_atom_site_fract_y
_atom_site_fract_z
_atom_site_occupancy
Mn1 Mn 0.2357 0.0000 0.2545 1
Co1 Co 0.0000 0.5000 0.5000 1
Ni1 Ni 0.5000 0.5000 0.0000 1

---

# 7
# Mn2CoNi | Alexandria via LeMat-Bulk | PBE-GGA | optimized geometry
# magnetic moment = 0.728 μB/atom
# E_form = 0.076 eV per atom
# polymorph energy (0 for the lowest one) = 126 meV/atom
data_Mn2CoNi
_chemical_formula_sum 'Mn2 Co1 Ni1'
_space_group_name_H-M_alt 'P 4/m m m'
_space_group_IT_number 123
_space_group_name_Hall '-P 4 2'
_cell_length_a 3.4897
_cell_length_b 3.4897
_cell_length_c 3.5374
_cell_angle_alpha 90.00
_cell_angle_beta 90.00
_cell_angle_gamma 90.00
loop_
_atom_site_label
_atom_site_type_symbol
_atom_site_fract_x
_atom_site_fract_y
_atom_site_fract_z
_atom_site_occupancy
Mn1 Mn 0.0000 0.5000 0.0000 1
Co1 Co 0.0000 0.0000 0.5000 1
Ni1 Ni 0.5000 0.5000 0.5000 1

---

# 8
# MnCo2Ni | Alexandria via LeMat-Bulk | PBE-GGA | optimized geometry
# magnetic moment = 1.735 μB/atom
# E_form = 0.074 eV per atom
data_MnCo2Ni
_chemical_formula_sum 'Mn2 Co4 Ni2'
_space_group_name_H-M_alt 'I 4/m m m'
_space_group_IT_number 139
_space_group_name_Hall '-I 4 2'
_cell_length_a 3.5328
_cell_length_b 3.5328
_cell_length_c 7.3370
_cell_angle_alpha 90.00
_cell_angle_beta 90.00
_cell_angle_gamma 90.00
loop_
_atom_site_label
_atom_site_type_symbol
_atom_site_fract_x
_atom_site_fract_y
_atom_site_fract_z
_atom_site_occupancy
Mn1 Mn 0.0000 0.0000 0.0000 1
Co1 Co 0.0000 0.5000 0.2500 1
Ni1 Ni 0.0000 0.0000 0.5000 1

---

# 9
# Mn2CoNi | Alexandria via LeMat-Bulk | PBE-GGA | optimized geometry
# magnetic moment = 0.503 μB/atom
# E_form = 0.062 eV per atom
# polymorph energy (0 for the lowest one) = 112 meV/atom
data_Mn2CoNi
_chemical_formula_sum 'Mn2 Co1 Ni1'
_space_group_name_H-M_alt 'P 4 m m'
_space_group_IT_number 99
_cell_length_a 2.4930
_cell_length_b 2.4930
_cell_length_c 7.0936
_cell_angle_alpha 90.00
_cell_angle_beta 90.00
_cell_angle_gamma 90.00
loop_
_space_group_symop_operation_xyz
'x,y,z'
'-y,x,z'
'-x,-y,z'
'y,-x,z'
'-x,y,z'
'y,x,z'
'x,-y,z'
'-y,-x,z'
loop_
_atom_site_label
_atom_site_type_symbol
_atom_site_fract_x
_atom_site_fract_y
_atom_site_fract_z
_atom_site_occupancy
Mn1 Mn 0.0000 0.0000 0.0000 1
Mn2 Mn 0.5000 0.5000 0.2525 1
Co1 Co 0.5000 0.5000 0.7607 1
Ni1 Ni 0.0000 0.0000 0.5081 1

---

# 10
# MnCo2Ni8 | Alexandria via LeMat-Bulk | PBE-GGA | optimized geometry
# magnetic moment = 1.059 μB/atom
# E_form = -0.027 eV per atom
data_MnCo2Ni8
_chemical_formula_sum 'Mn2 Co4 Ni16'
_space_group_name_H-M_alt 'C 1 2/m 1'
_space_group_IT_number 12
_cell_length_a 12.7782
_cell_length_b 3.5350
_cell_length_c 5.5787
_cell_angle_alpha 90.00
_cell_angle_beta 104.97
_cell_angle_gamma 90.00
loop_
_space_group_symop_operation_xyz
'x,y,z'
'-x,-y,-z'
'-x,y,-z'
'x,-y,z'
'x+1/2,y+1/2,z'
'-x+1/2,-y+1/2,-z'
'-x+1/2,y+1/2,-z'
'x+1/2,-y+1/2,z'
loop_
_atom_site_label
_atom_site_type_symbol
_atom_site_fract_x
_atom_site_fract_y
_atom_site_fract_z
_atom_site_occupancy
Mn1 Mn 0.0000 0.0000 0.0000 1
Co1 Co 0.2271 0.5000 0.6339 1
Ni1 Ni 0.0472 0.5000 0.7243 1
Ni2 Ni 0.0926 0.0000 0.4556 1
Ni3 Ni 0.1379 0.5000 0.1862 1
Ni4 Ni 0.1834 0.0000 0.9122 1

---

# 11
# MnCo2Ni | Alexandria via LeMat-Bulk | PBE-GGA | optimized geometry
# magnetic moment = 0.000 μB/atom
# E_form = 0.581 eV per atom
data_MnCo2Ni
_chemical_formula_sum 'Mn4 Co8 Ni4'
_space_group_name_H-M_alt 'I -4 2 d'
_space_group_IT_number 122
_space_group_name_Hall 'I -4 2bw'
_cell_length_a 6.1791
_cell_length_b 6.1791
_cell_length_c 4.8612
_cell_angle_alpha 90.00
_cell_angle_beta 90.00
_cell_angle_gamma 90.00
loop_
_atom_site_label
_atom_site_type_symbol
_atom_site_fract_x
_atom_site_fract_y
_atom_site_fract_z
_atom_site_occupancy
Mn1 Mn 0.0000 0.0000 0.0000 1
Co1 Co 0.2191 0.7500 0.1250 1
Ni1 Ni 0.0000 0.0000 0.5000 1

---

# 12
# MnCo2Ni | Alexandria via LeMat-Bulk | PBE-GGA | optimized geometry
# magnetic moment = 1.778 μB/atom
# E_form = 0.110 eV per atom
data_MnCo2Ni
_chemical_formula_sum 'Mn1 Co2 Ni1'
_space_group_name_H-M_alt 'P 1 2/m 1'
_space_group_IT_number 10
_cell_length_a 2.4779
_cell_length_b 4.1258
_cell_length_c 4.5440
_cell_angle_alpha 90.00
_cell_angle_beta 97.27
_cell_angle_gamma 90.00
loop_
_space_group_symop_operation_xyz
'x,y,z'
'-x,-y,-z'
'-x,y,-z'
'x,-y,z'
loop_
_atom_site_label
_atom_site_type_symbol
_atom_site_fract_x
_atom_site_fract_y
_atom_site_fract_z
_atom_site_occupancy
Mn1 Mn 0.0000 0.0000 0.0000 1
Co1 Co 0.2563 0.5000 0.7495 1
Ni1 Ni 0.5000 0.0000 0.5000 1